(1)
# GGA-PBE Ga5Ag3F12, relaxed
data_Ga5Ag3F12
_cell_length_a 11.8491
_cell_length_b 11.8491
_cell_length_c 11.8491
_cell_angle_alpha 109.47
_cell_angle_beta 109.47
_cell_angle_gamma 109.47
_symmetry_space_group_name_H-M 'P 1'
_symmetry_Int_Tables_number 1
_symmetry_space_group_name_Hall 'P 1'
loop_
_atom_site_label
_atom_site_fract_x
_atom_site_fract_y
_atom_site_fract_z
Ag1 0.7500 0.3750 0.1250
Ag2 0.8750 0.7500 0.1250
Ag3 0.3750 0.7500 0.6250
Ag4 0.2500 0.1250 0.3750
Ag5 0.8750 0.1250 0.2500
Ag6 0.3750 0.6250 0.2500
Ag7 0.6250 0.3750 0.7500
Ag8 0.1250 0.8750 0.7500
Ag9 0.7500 0.8750 0.6250
Ag10 0.6250 0.2500 0.3750
Ag11 0.1250 0.2500 0.8750
Ag12 0.2500 0.6250 0.8750
Ga1 0.1250 0.3750 0.2500
Ga2 0.0000 0.5000 0.0000
Ga3 0.0000 0.0000 0.0000
Ga4 0.3750 0.2500 0.1250
Ga5 0.5000 0.0000 0.5000
Ga6 0.5000 0.5000 0.0000
Ga7 0.1250 0.7500 0.3750
Ga8 0.7500 0.1250 0.8750
Ga9 0.7500 0.6250 0.3750
Ga10 0.3750 0.1250 0.7500
Ga11 0.6250 0.8750 0.2500
Ga12 0.5000 0.5000 0.5000
Ga13 0.5000 0.0000 0.0000
Ga14 0.0000 0.0000 0.5000
Ga15 0.2500 0.3750 0.6250
Ga16 0.2500 0.8750 0.1250
Ga17 0.0000 0.5000 0.5000
Ga18 0.8750 0.2500 0.6250
Ga19 0.6250 0.7500 0.8750
Ga20 0.8750 0.6250 0.7500
F1 0.6868 0.0807 0.0321
F2 0.3453 0.5321 0.4514
F3 0.9679 0.4193 0.3132
F4 0.5321 0.1868 0.0807
F5 0.6061 0.6868 0.6547
F6 0.9679 0.5486 0.1547
F7 0.3453 0.8132 0.3939
F8 0.0486 0.8939 0.0807
F9 0.5486 0.9679 0.6547
F10 0.6868 0.6061 0.1547
F11 0.8132 0.4679 0.4193
F12 0.8453 0.9514 0.0321
F13 0.0807 0.6868 0.5321
F14 0.4193 0.4514 0.1061
F15 0.1061 0.9514 0.4193
F16 0.3939 0.0807 0.5486
F17 0.1061 0.1547 0.1868
F18 0.4679 0.6547 0.0486
F19 0.8453 0.8939 0.3132
F20 0.0807 0.3939 0.0486
F21 0.4193 0.9679 0.8132
F22 0.5486 0.5807 0.3939
F23 0.9514 0.8453 0.5321
F24 0.8132 0.3453 0.8939
F25 0.4514 0.4193 0.6061
F26 0.0486 0.1547 0.4679
F27 0.1868 0.6547 0.1061
F28 0.1547 0.1061 0.6868
F29 0.5807 0.0321 0.1868
F30 0.9193 0.6061 0.9514
F31 0.5321 0.3453 0.9514
F32 0.6061 0.9193 0.4514
F33 0.8939 0.8453 0.8132
F34 0.8939 0.0486 0.5807
F35 0.9193 0.3132 0.4679
F36 0.1547 0.0486 0.9679
F37 0.5807 0.5486 0.8939
F38 0.4514 0.0321 0.3453
F39 0.3132 0.3939 0.8453
F40 0.1868 0.5321 0.5807
F41 0.9514 0.1061 0.9193
F42 0.6547 0.1868 0.6061
F43 0.4679 0.8132 0.9193
F44 0.0321 0.4514 0.8453
F45 0.3939 0.3132 0.3453
F46 0.0321 0.5807 0.6868
F47 0.6547 0.4679 0.5486
F48 0.3132 0.9193 0.9679
# E_tot in eV per atom: -4.11
# Total moment in μB/f.u.: 0.0
# N(E_F) in states/eV per atom: 0.0000
# Formation energy (no corrections) in kcal/mol of atoms: -41.49

---

(2)
# GGA-PBE Ba3Ni2H9, relaxed
data_Ba3Ni2H9
_cell_length_a 5.5350
_cell_length_b 5.5350
_cell_length_c 6.8106
_cell_angle_alpha 90.00
_cell_angle_beta 90.00
_cell_angle_gamma 120.00
_symmetry_space_group_name_H-M 'P 1'
_symmetry_Int_Tables_number 1
_symmetry_space_group_name_Hall 'P 1'
loop_
_atom_site_label
_atom_site_fract_x
_atom_site_fract_y
_atom_site_fract_z
Ba1 0.6667 0.3333 0.6580
Ba2 0.0000 0.0000 0.0000
Ba3 0.3333 0.6667 0.3420
Ni1 0.6667 0.3333 0.1591
Ni2 0.3333 0.6667 0.8409
H1 0.1907 0.8093 0.7071
H2 0.1907 0.3815 0.7071
H3 0.5000 0.5000 0.0000
H4 0.8093 0.6185 0.2929
H5 0.3815 0.1907 0.2929
H6 0.6185 0.8093 0.7071
H7 0.8093 0.1907 0.2929
H8 0.0000 0.5000 0.0000
H9 0.5000 0.0000 0.0000
# E_tot in eV per atom: -3.78
# Total moment in μB/f.u.: 0.0
# N(E_F) in states/eV per atom: 0.1484

---

(3)
# GGA-PBE Mg2Al2SiPt5, relaxed
data_Mg2Al2SiPt5
_cell_length_a 3.5854
_cell_length_b 9.4561
_cell_length_c 9.4561
_cell_angle_alpha 90.00
_cell_angle_beta 90.00
_cell_angle_gamma 90.00
_symmetry_space_group_name_H-M 'P 1'
_symmetry_Int_Tables_number 1
_symmetry_space_group_name_Hall 'P 1'
loop_
_atom_site_label
_atom_site_fract_x
_atom_site_fract_y
_atom_site_fract_z
Mg1 0.0000 0.6709 0.1709
Mg2 0.0000 0.3291 0.8291
Mg3 0.0000 0.1709 0.3291
Mg4 0.0000 0.8291 0.6709
Al1 0.0000 0.1279 0.6279
Al2 0.0000 0.8721 0.3721
Al3 0.0000 0.6279 0.8721
Al4 0.0000 0.3721 0.1279
Si1 0.0000 0.0000 0.0000
Si2 0.0000 0.5000 0.5000
Pt1 0.5000 0.1941 0.0782
Pt2 0.5000 0.8059 0.9218
Pt3 0.5000 0.0782 0.8059
Pt4 0.5000 0.6941 0.4218
Pt5 0.5000 0.9218 0.1941
Pt6 0.5000 0.3059 0.5782
Pt7 0.5000 0.5782 0.6941
Pt8 0.5000 0.4218 0.3059
Pt9 0.5000 0.5000 0.0000
Pt10 0.5000 0.0000 0.5000
# E_tot in eV per atom: -5.35
# Total moment in μB/f.u.: 0.0
# N(E_F) in states/eV per atom: 0.3086
# Formation energy (no corrections) in kcal/mol of atoms: -16.61

---

(4)
# GGA-PBE Li2ScCl, relaxed
data_Li2ScCl
_cell_length_a 3.3024
_cell_length_b 5.3874
_cell_length_c 5.3926
_cell_angle_alpha 56.82
_cell_angle_beta 90.00
_cell_angle_gamma 90.00
_symmetry_space_group_name_H-M 'P 1'
_symmetry_Int_Tables_number 1
_symmetry_space_group_name_Hall 'P 1'
loop_
_atom_site_label
_atom_site_fract_x
_atom_site_fract_y
_atom_site_fract_z
Cl1 0.5000 0.7500 0.7500
Li1 0.0000 0.9373 0.9381
Li2 0.0000 0.5627 0.5619
Sc1 0.5000 0.2500 0.2500
# E_tot in eV per atom: -3.57
# Total moment in μB/f.u.: 0.0
# N(E_F) in states/eV per atom: 0.5940
# Relative energy among the computed polymorphs in eV per atom: 0.0948
# Formation energy (no corrections) in kcal/mol of atoms: -13.10

---

(5)
# GGA-PBE Y4TeMo, relaxed
data_Y4TeMo
_cell_length_a 6.1527
_cell_length_b 6.1527
_cell_length_c 6.1527
_cell_angle_alpha 60.00
_cell_angle_beta 60.00
_cell_angle_gamma 60.00
_symmetry_space_group_name_H-M 'P 1'
_symmetry_Int_Tables_number 1
_symmetry_space_group_name_Hall 'P 1'
loop_
_atom_site_label
_atom_site_fract_x
_atom_site_fract_y
_atom_site_fract_z
Y1 0.8685 0.3772 0.3772
Y2 0.3772 0.3772 0.8685
Y3 0.3772 0.8685 0.3772
Y4 0.3772 0.3772 0.3772
Te1 0.0000 0.0000 0.0000
Mo1 0.7500 0.7500 0.7500
# E_tot in eV per atom: -5.99
# Total moment in μB/f.u.: 0.8
# N(E_F) in states/eV per atom: 1.4143
# Formation energy (no corrections) in kcal/mol of atoms: 15.04

---

(6)
# GGA-PBE LaPm3Nd4, relaxed
data_LaPm3Nd4
_cell_length_a 7.3597
_cell_length_b 7.3564
_cell_length_c 10.4082
_cell_angle_alpha 90.00
_cell_angle_beta 90.00
_cell_angle_gamma 90.00
_symmetry_space_group_name_H-M 'P 1'
_symmetry_Int_Tables_number 1
_symmetry_space_group_name_Hall 'P 1'
loop_
_atom_site_label
_atom_site_fract_x
_atom_site_fract_y
_atom_site_fract_z
Pm1 0.0001 0.3105 0.0000
Pm2 0.2486 0.0606 0.7498
Pm3 0.7514 0.5606 0.7502
Pm4 0.9999 0.8105 0.5000
Pm5 0.7514 0.5606 0.2498
Pm6 0.2486 0.0606 0.2502
Nd1 0.0001 0.8106 0.0000
Nd2 0.4999 0.3105 0.0000
Nd3 0.7516 0.0606 0.7500
Nd4 0.2484 0.5606 0.7500
Nd5 0.5001 0.8105 0.5000
Nd6 0.9999 0.3106 0.5000
Nd7 0.2484 0.5606 0.2500
Nd8 0.7516 0.0606 0.2500
La1 0.5000 0.8107 0.0000
La2 0.5000 0.3107 0.5000
# E_tot in eV per atom: -4.77
# Total moment in μB/f.u.: 0.0
# N(E_F) in states/eV per atom: 1.6371
# ΔE_f in eV per formula unit: 0.110
# Relative energy among the computed polymorphs in eV per atom: 0.0000

---

(7)
# GGA-PBE Cd5AgPd8, relaxed
data_Cd5AgPd8
_cell_length_a 6.9296
_cell_length_b 6.9296
_cell_length_c 6.9296
_cell_angle_alpha 110.75
_cell_angle_beta 106.95
_cell_angle_gamma 110.75
_symmetry_space_group_name_H-M 'P 1'
_symmetry_Int_Tables_number 1
_symmetry_space_group_name_Hall 'P 1'
loop_
_atom_site_label
_atom_site_fract_x
_atom_site_fract_y
_atom_site_fract_z
Cd1 0.0409 0.3494 0.1299
Cd2 0.8701 0.9110 0.2195
Cd3 0.7805 0.6506 0.6916
Cd4 0.5000 0.0000 0.5000
Cd5 0.3084 0.0890 0.9591
Ag1 0.2500 0.5000 0.7500
Pd1 0.1391 0.7352 0.0680
Pd2 0.9320 0.0711 0.6672
Pd3 0.7418 0.2655 0.3357
Pd4 0.6643 0.4061 0.9298
Pd5 0.5236 0.5939 0.2582
Pd6 0.5961 0.9289 0.8609
Pd7 0.3328 0.2648 0.4039
Pd8 0.0702 0.7345 0.4764
# E_tot in eV per atom: -3.66
# Total moment in μB/f.u.: 0.0
# N(E_F) in states/eV per atom: 0.2713
# ΔE_f in eV per formula unit: -2.234

---

(8)
# GGA-PBE Ac2Pm3NdSe6, relaxed
data_Ac2Pm3NdSe6
_cell_length_a 7.4241
_cell_length_b 7.4241
_cell_length_c 7.4718
_cell_angle_alpha 99.54
_cell_angle_beta 99.54
_cell_angle_gamma 120.22
_symmetry_space_group_name_H-M 'P 1'
_symmetry_Int_Tables_number 1
_symmetry_space_group_name_Hall 'P 1'
loop_
_atom_site_label
_atom_site_fract_x
_atom_site_fract_y
_atom_site_fract_z
Ac1 0.3342 0.6658 0.0000
Ac2 0.6658 0.3342 0.0000
Pm1 0.1690 0.8310 0.5000
Pm2 0.8310 0.1690 0.5000
Pm3 0.5000 0.5000 0.5000
Nd1 0.0000 0.0000 0.0000
Se1 0.9132 0.5864 0.7384
Se2 0.7626 0.7626 0.2652
Se3 0.0868 0.4136 0.2616
Se4 0.5864 0.9132 0.7384
Se5 0.2374 0.2374 0.7348
Se6 0.4136 0.0868 0.2616
# E_tot in eV per atom: -5.85
# Total moment in μB/f.u.: 0.0
# N(E_F) in states/eV per atom: 0.5136
# Formation energy (no corrections) in kcal/mol of atoms: -42.38